Density functional theory data (PBE-GGA) for GdGa after structural relaxation.

Unit cell a=6.577 b=6.577 c=6.577 alpha=90.00 beta=90.00 gamma=90.00
Element x y z (fractional)
Gd  0.000  0.000  0.000
Gd  0.000  0.500  0.500
Gd  0.500  0.000  0.500
Gd  0.500  0.500  0.000
Ga  0.250  0.250  0.250
Ga  0.250  0.750  0.750
Ga  0.750  0.250  0.750
Ga  0.750  0.750  0.250

Results
Theoretical density: 5.30 g/cm³
E: -3.370 eV per atom

=====

Density functional theory data (PBE-GGA) for Li4Mg2HgGe after structural relaxation.

Unit cell a=4.507 b=4.507 c=6.831 alpha=90.00 beta=90.00 gamma=90.00
Element x y z (fractional)
Li  0.000  0.000  0.000
Li  0.000  0.500  0.238
Li  0.500  0.000  0.762
Li  0.500  0.500  0.500
Mg  0.000  0.500  0.758
Mg  0.500  0.000  0.242
Hg  0.000  0.000  0.500
Ge  0.500  0.500  0.000

Results
Theoretical density: 4.18 g/cm³
E: -2.262 eV per atom

=====

Density functional theory data (PBE-GGA) for ZnBW2 after structural relaxation.

Unit cell a=6.030 b=6.030 c=6.030 alpha=90.00 beta=90.00 gamma=90.00
Element x y z (fractional)
Zn  0.000  0.000  0.000
Zn  0.000  0.500  0.500
Zn  0.500  0.000  0.500
Zn  0.500  0.500  0.000
B  0.250  0.250  0.750
B  0.250  0.750  0.250
B  0.750  0.250  0.250
B  0.750  0.750  0.750
W  0.000  0.000  0.500
W  0.000  0.500  0.000
W  0.250  0.250  0.250
W  0.250  0.750  0.750
W  0.500  0.000  0.000
W  0.500  0.500  0.500
W  0.750  0.250  0.750
W  0.750  0.750  0.250

Results
Theoretical density: 13.44 g/cm³
E: -7.561 eV per atom

=====

Density functional theory data (PBE-GGA) for CsAlGaAu after structural relaxation.

Unit cell a=7.608 b=7.608 c=7.608 alpha=90.00 beta=90.00 gamma=90.00
Element x y z (fractional)
Cs  0.000  0.000  0.000
Cs  0.000  0.500  0.500
Cs  0.500  0.000  0.500
Cs  0.500  0.500  0.000
Al  0.000  0.000  0.500
Al  0.000  0.500  0.000
Al  0.500  0.000  0.000
Al  0.500  0.500  0.500
Ga  0.250  0.250  0.250
Ga  0.250  0.750  0.750
Ga  0.750  0.250  0.750
Ga  0.750  0.750  0.250
Au  0.250  0.250  0.750
Au  0.250  0.750  0.250
Au  0.750  0.250  0.250
Au  0.750  0.750  0.750

Results
Theoretical density: 6.43 g/cm³
E: -2.338 eV per atom

=====

Density functional theory data (PBE-GGA) for RbNiAgTe3 after structural relaxation.

Unit cell a=8.463 b=8.463 c=11.078 alpha=90.00 beta=90.00 gamma=153.44
Element x y z (fractional)
Rb  0.242  0.758  0.750
Rb  0.758  0.242  0.250
Ni  0.000  0.000  0.000
Ni  0.000  0.000  0.500
Ag  0.442  0.558  0.250
Ag  0.558  0.442  0.750
Te  0.065  0.935  0.250
Te  0.395  0.605  0.013
Te  0.395  0.605  0.487
Te  0.605  0.395  0.513
Te  0.605  0.395  0.987
Te  0.935  0.065  0.750

Results
Theoretical density: 5.94 g/cm³
E: -3.380 eV per atom

=====

Density functional theory data (PBE-GGA) for MgCdB4 after structural relaxation.

Unit cell a=3.122 b=5.363 c=7.396 alpha=90.00 beta=90.00 gamma=90.00
Element x y z (fractional)
Mg  0.000  0.000  0.000
Mg  0.500  0.500  0.500
Cd  0.000  0.000  0.500
Cd  0.500  0.500  0.000
B  0.000  0.329  0.258
B  0.000  0.329  0.742
B  0.000  0.671  0.258
B  0.000  0.671  0.742
B  0.500  0.171  0.242
B  0.500  0.171  0.758
B  0.500  0.829  0.242
B  0.500  0.829  0.758

Results
Theoretical density: 4.83 g/cm³
E: -4.657 eV per atom

=====

Look up the E of the sixth one. -4.657 eV per atom

=====

The highest theoretical density belongs to which entry? ZnBW2